CrCuSnO5: relaxed, PBE with a Hubbard U.

```
CrCuSnO5
1.0
3.253 -4.520 0.000
3.253 4.520 0.000
-3.133 0.000 6.682
Cr Cu Sn O
2 2 2 10
Cartesian
0.903 3.687 5.012 Cr
2.469 -3.687 1.671 Cr
0.903 0.634 5.012 Cu
2.469 -0.634 1.671 Cu
1.626 2.260 0.000 Sn
0.060 -2.260 3.341 Sn
2.469 3.352 1.671 O
1.162 0.614 1.161 O
1.304 2.067 3.852 O
0.501 2.067 6.171 O
-0.405 -0.614 4.503 O
3.777 0.614 2.180 O
2.871 -2.067 0.511 O
2.068 -2.067 2.830 O
2.210 -0.614 5.521 O
0.903 -3.352 5.012 O
```

## Properties
crystal system	monoclinic
final energy	-48.7	eV/f.u.



SrCrCu2O: relaxed, PBE with a Hubbard U.

```
SrCrCu2O
1.0
4.488 0.000 0.000
0.000 4.488 0.000
0.000 0.000 6.458
Sr Cr Cu O
1 1 2 1
Cartesian
0.000 0.000 0.000 Sr
0.000 0.000 3.229 Cr
0.000 2.244 3.229 Cu
2.244 0.000 3.229 Cu
2.244 2.244 0.000 O
```

## Properties
crystal system	tetragonal
final energy	-18.8	eV/f.u.



SrCrCuO2: relaxed, PBE with a Hubbard U.

```
SrCrCuO2
1.0
3.911 0.000 0.000
0.000 3.911 0.000
0.000 0.000 6.253
Sr Cr Cu O
1 1 1 2
Cartesian
0.000 0.000 0.000 Sr
0.000 0.000 3.127 Cr
1.956 1.956 0.000 Cu
0.000 1.956 3.127 O
1.956 0.000 3.127 O
```

## Properties
crystal system	tetragonal
final energy	-25.1	eV/f.u.



Sr3CrCu2O9: relaxed, PBE with a Hubbard U.

```
Sr3CrCu2O9
1.0
5.479 0.000 0.000
-2.739 4.745 0.000
0.000 0.000 6.740
Sr Cr Cu O
3 1 2 9
Cartesian
0.000 0.000 0.000 Sr
0.000 3.163 4.559 Sr
2.739 1.582 2.181 Sr
0.000 0.000 3.370 Cr
0.000 3.163 1.103 Cu
2.739 1.582 5.637 Cu
-1.370 2.372 0.000 O
0.000 1.520 2.310 O
-1.423 3.985 2.310 O
1.316 0.760 4.430 O
2.739 0.000 0.000 O
1.370 2.372 0.000 O
1.423 3.985 2.310 O
4.162 0.760 4.430 O
2.739 3.225 4.430 O
```

## Properties
crystal system	trigonal
final energy	-89.5	eV/f.u.



SrCr2CuO: relaxed, PBE with a Hubbard U.

```
SrCr2CuO
1.0
4.180 0.000 0.000
0.000 4.180 0.000
0.000 0.000 6.085
Sr Cr Cu O
1 2 1 1
Cartesian
0.000 0.000 0.000 Sr
0.000 2.090 3.042 Cr
2.090 0.000 3.042 Cr
2.090 2.090 0.000 Cu
2.090 2.090 3.042 O
```

## Properties
crystal system	tetragonal
final energy	-26.3	eV/f.u.



SrCr2CuO8: relaxed, PBE with a Hubbard U.

```
SrCr2CuO8
1.0
2.491 1.438 7.209
-2.491 1.438 7.209
0.000 -2.876 7.209
Sr Cr Cu O
1 2 1 8
Cartesian
0.000 0.000 0.000 Sr
0.000 0.000 5.305 Cr
0.000 0.000 16.321 Cr
0.000 0.000 10.813 Cu
-1.659 -0.071 9.594 O
-0.768 -1.472 12.032 O
0.000 0.000 6.972 O
0.891 -1.401 9.594 O
-0.891 1.401 12.032 O
0.000 0.000 14.654 O
0.768 1.472 9.594 O
1.659 0.071 12.032 O
```

## Properties
crystal system	trigonal
final energy	-77.1	eV/f.u.



SrCr4Cu3O12: relaxed, PBE with a Hubbard U.

```
SrCr4Cu3O12
1.0
-3.713 3.713 3.713
3.713 -3.713 3.713
3.713 3.713 -3.713
Sr Cr Cu O
1 4 3 12
Cartesian
0.000 0.000 0.000 Sr
1.856 1.856 -1.856 Cr
1.856 -1.856 1.856 Cr
-1.856 1.856 1.856 Cr
1.856 1.856 1.856 Cr
3.713 0.000 0.000 Cu
0.000 3.713 0.000 Cu
0.000 0.000 3.713 Cu
3.713 2.439 -1.377 O
2.336 0.000 1.274 O
5.090 0.000 1.274 O
1.274 2.336 0.000 O
2.439 -1.377 3.713 O
0.000 1.274 2.336 O
3.713 2.439 1.377 O
1.274 5.090 0.000 O
2.439 1.377 3.713 O
-1.377 3.713 2.439 O
1.377 3.713 2.439 O
0.000 1.274 5.090 O
```

## Properties
crystal system	cubic
final energy	-132.9	eV/f.u.



Sr8Tl3CrCu4O20: relaxed, PBE with a Hubbard U.

```
Sr8Tl3CrCu4O20
1.0
7.611 -8.996 0.000
7.611 8.996 0.000
0.000 0.000 3.704
Sr Tl Cr Cu O
8 3 1 4 20
Cartesian
5.719 6.293 0.000 Sr
5.689 2.537 0.000 Sr
9.503 6.293 0.000 Sr
9.532 2.537 0.000 Sr
5.689 -2.537 0.000 Sr
5.719 -6.293 0.000 Sr
9.532 -2.537 0.000 Sr
9.503 -6.293 0.000 Sr
0.000 0.000 1.852 Tl
3.481 0.000 1.852 Tl
11.741 0.000 1.852 Tl
7.611 0.000 1.852 Cr
3.805 4.498 1.852 Cu
7.611 4.492 1.852 Cu
3.805 -4.498 1.852 Cu
7.611 -4.492 1.852 Cu
3.805 4.498 0.000 O
7.611 6.905 1.852 O
1.927 0.000 0.000 O
5.715 4.410 1.852 O
3.810 2.053 1.852 O
7.611 4.299 0.000 O
3.810 -2.053 1.852 O
9.506 4.410 1.852 O
7.611 1.748 1.852 O
6.331 0.000 0.000 O
3.805 -4.498 0.000 O
8.890 0.000 0.000 O
7.611 -1.748 1.852 O
5.715 -4.410 1.852 O
11.411 2.053 1.852 O
7.611 -4.299 0.000 O
11.411 -2.053 1.852 O
9.506 -4.410 1.852 O
13.295 0.000 0.000 O
7.611 -6.905 1.852 O
```

## Properties
crystal system	orthorhombic
final energy	-203.6	eV/f.u.



Sr2YCrCu2O7: relaxed, PBE with a Hubbard U.

```
Sr2YCrCu2O7
1.0
3.888 -11.623 0.000
3.888 11.623 0.000
-3.833 0.000 3.926
Sr Y Cr Cu O
4 2 2 4 14
Cartesian
3.888 9.227 0.000 Sr
4.031 2.394 0.153 Sr
4.031 -2.394 0.153 Sr
3.888 -9.227 0.000 Sr
3.973 5.820 0.053 Y
3.973 -5.820 0.053 Y
-1.681 0.000 2.485 Cr
1.600 0.000 1.951 Cr
2.072 7.329 2.023 Cu
2.057 4.241 2.006 Cu
2.057 -4.241 2.006 Cu
2.072 -7.329 2.023 Cu
2.029 10.044 1.679 O
0.117 4.317 1.872 O
2.173 4.293 0.044 O
1.028 0.000 0.015 O
0.010 0.000 3.246 O
0.117 -4.317 1.872 O
2.173 -4.293 0.044 O
2.269 1.708 2.122 O
5.802 4.354 0.053 O
4.016 4.341 2.148 O
2.269 -1.708 2.122 O
2.029 -10.044 1.679 O
5.802 -4.354 0.053 O
4.016 -4.341 2.148 O
```

## Properties
crystal system	monoclinic
final energy	-86.9	eV/f.u.



TaCrCuO6: relaxed, PBE with a Hubbard U.

```
TaCrCuO6
1.0
4.621 0.000 0.000
0.000 4.621 0.000
0.000 0.000 9.073
Ta Cr Cu O
2 2 2 12
Cartesian
0.000 0.000 0.000 Ta
2.310 2.310 4.536 Ta
0.000 0.000 2.992 Cr
2.310 2.310 7.528 Cr
0.000 0.000 6.023 Cu
2.310 2.310 1.486 Cu
0.902 0.902 1.499 O
0.904 0.904 4.440 O
0.961 0.961 7.580 O
1.349 3.272 3.043 O
1.406 3.214 8.976 O
1.409 3.212 6.035 O
3.212 1.409 6.035 O
3.214 1.406 8.976 O
3.272 1.349 3.043 O
3.659 3.659 7.580 O
3.717 3.717 4.440 O
3.719 3.719 1.499 O
```

## Properties
crystal system	tetragonal
final energy	-68.2	eV/f.u.



TaCrCuO2: relaxed, PBE with a Hubbard U.

```
TaCrCuO2
1.0
3.779 0.000 0.000
0.000 3.779 0.000
0.000 0.000 4.629
Ta Cr Cu O
1 1 1 2
Cartesian
0.000 0.000 0.000 Ta
1.890 1.890 2.314 Cr
1.890 1.890 0.000 Cu
0.000 1.890 2.314 O
1.890 0.000 2.314 O
```

## Properties
crystal system	tetragonal
final energy	-33.4	eV/f.u.



CrCuTeO6: relaxed, PBE with a Hubbard U.

```
CrCuTeO6
1.0
4.619 0.000 0.000
0.000 4.619 0.000
0.000 0.000 9.167
Cr Cu Te O
2 2 2 12
Cartesian
0.000 0.000 0.000 Cr
2.309 2.309 4.584 Cr
0.000 0.000 3.036 Cu
2.309 2.309 7.619 Cu
0.000 0.000 6.101 Te
2.309 2.309 1.518 Te
0.882 0.882 7.603 O
0.898 0.898 4.618 O
0.920 0.920 1.499 O
1.390 3.229 6.082 O
1.412 3.207 0.035 O
1.428 3.191 3.020 O
3.191 1.428 3.020 O
3.207 1.412 0.035 O
3.229 1.390 6.082 O
3.699 3.699 1.499 O
3.721 3.721 4.618 O
3.737 3.737 7.603 O
```

## Properties
crystal system	tetragonal
final energy	-54.0	eV/f.u.



CrCuTe2O8: relaxed, PBE with a Hubbard U.

```
CrCuTe2O8
1.0
-3.402 3.402 3.371
3.402 -3.402 3.371
3.402 3.402 -3.371
Cr Cu Te O
1 1 2 8
Cartesian
0.000 0.000 0.000 Cr
3.402 0.000 1.686 Cu
0.000 0.000 3.371 Te
0.000 3.402 1.686 Te
2.040 3.402 -1.296 O
1.362 0.000 2.076 O
0.000 2.032 0.422 O
3.402 2.040 1.296 O
0.000 4.772 0.422 O
0.000 1.362 4.667 O
-1.370 3.402 2.949 O
1.370 3.402 2.949 O
```

## Properties
crystal system	tetragonal
final energy	-65.9	eV/f.u.



ThCr4Cu3O12: relaxed, PBE with a Hubbard U.

```
ThCr4Cu3O12
1.0
-3.728 3.728 3.728
3.728 -3.728 3.728
3.728 3.728 -3.728
Th Cr Cu O
1 4 3 12
Cartesian
0.000 0.000 0.000 Th
1.864 1.864 -1.864 Cr
1.864 -1.864 1.864 Cr
-1.864 1.864 1.864 Cr
1.864 1.864 1.864 Cr
3.728 0.000 0.000 Cu
0.000 3.728 0.000 Cu
0.000 0.000 3.728 Cu
3.728 2.477 -1.464 O
2.264 0.000 1.251 O
5.192 0.000 1.251 O
1.251 2.264 0.000 O
2.477 -1.464 3.728 O
0.000 1.251 2.264 O
3.728 2.477 1.464 O
1.251 5.192 0.000 O
2.477 1.464 3.728 O
-1.464 3.728 2.477 O
1.464 3.728 2.477 O
0.000 1.251 5.192 O
```

## Properties
crystal system	cubic
final energy	-143.7	eV/f.u.



TiCrCuO5: relaxed, PBE with a Hubbard U.

```
TiCrCuO5
1.0
3.105 -4.461 0.000
3.105 4.461 0.000
-2.797 0.000 6.578
Ti Cr Cu O
2 2 2 10
Cartesian
1.553 2.230 0.000 Ti
0.154 -2.230 3.289 Ti
1.007 3.686 4.933 Cr
2.406 -3.686 1.644 Cr
1.007 0.638 4.933 Cu
2.406 -0.638 1.644 Cu
2.406 3.186 1.644 O
1.187 0.594 0.981 O
1.372 2.058 3.773 O
0.642 2.058 6.094 O
-0.211 -0.594 4.270 O
3.625 0.594 2.308 O
2.771 -2.058 0.484 O
2.041 -2.058 2.805 O
2.226 -0.594 5.596 O
1.007 -3.186 4.933 O
```

## Properties
crystal system	monoclinic
final energy	-56.6	eV/f.u.



TlCr2CuO8: relaxed, PBE with a Hubbard U.

```
TlCr2CuO8
1.0
2.525 1.458 8.252
-2.525 1.458 8.252
0.000 -2.916 8.252
Tl Cr Cu O
1 2 1 8
Cartesian
0.000 0.000 0.000 Tl
0.000 0.000 5.817 Cr
0.000 0.000 18.939 Cr
0.000 0.000 12.378 Cu
-1.594 -0.156 11.198 O
-0.662 -1.458 13.559 O
0.000 0.000 7.459 O
0.932 -1.302 11.198 O
-0.932 1.302 13.559 O
0.000 0.000 17.298 O
0.662 1.458 11.198 O
1.594 0.156 13.559 O
```

## Properties
crystal system	trigonal
final energy	-72.3	eV/f.u.



Tl2CrCuO4: relaxed, PBE with a Hubbard U.

```
Tl2CrCuO4
1.0
0.000 6.025 9.797
2.505 0.000 9.797
2.505 6.025 0.000
Tl Cr Cu O
4 2 2 8
Cartesian
1.879 4.519 0.967 Tl
3.131 7.531 5.866 Tl
1.879 4.519 13.729 Tl
3.131 7.531 18.627 Tl
0.626 1.506 2.449 Cr
4.384 10.544 17.145 Cr
1.879 4.519 7.348 Cu
3.131 7.531 12.246 Cu
1.632 2.537 3.445 O
3.378 5.549 8.344 O
2.126 6.501 3.445 O
2.126 2.537 11.251 O
2.885 9.513 8.344 O
2.885 5.549 16.149 O
1.632 6.501 11.251 O
3.378 9.513 16.149 O
```

## Properties
crystal system	orthorhombic
final energy	-43.0	eV/f.u.



UCr2CuO8: relaxed, PBE with a Hubbard U.

```
UCr2CuO8
1.0
3.346 -3.373 0.000
3.346 3.373 0.000
0.000 0.000 6.109
U Cr Cu O
1 2 1 8
Cartesian
0.000 0.000 0.000 U
3.346 0.000 1.600 Cr
3.346 0.000 4.509 Cr
0.000 0.000 3.055 Cu
1.364 0.000 1.546 O
1.364 0.000 4.563 O
3.346 1.256 0.000 O
3.346 1.249 3.055 O
3.346 -1.249 3.055 O
3.346 -1.256 0.000 O
5.328 0.000 1.546 O
5.328 0.000 4.563 O
```

## Properties
crystal system	orthorhombic
final energy	-92.2	eV/f.u.